1.
The following is a DFT calculation (PBE-GGA) of a relaxed HgBi2H6 crystal.

Lattice parameters (Å, degrees): 6.6590 6.6590 4.8032 105.15 105.15 49.69
Last column: nearest neighbours and their distance in Å.
Fractional positions:
Hg (0.0000, 0.0000, 0.0000)  4 H 2.89
Bi (0.3633, 0.3633, 0.5635)  4 H 1.92-2.13
Bi (0.6367, 0.6367, 0.4365)  4 H 1.92-2.13
H (0.0569, 0.5131, 0.2740)  1 Bi 1.92
H (0.2873, 0.7127, 0.5000)  2 Bi 2.13, 1 H 2.38
H (0.4869, 0.9431, 0.7260)  1 Bi 1.92
H (0.5131, 0.0569, 0.2740)  1 Bi 1.92
H (0.7127, 0.2873, 0.5000)  2 Bi 2.13, 1 H 2.38
H (0.9431, 0.4869, 0.7260)  1 Bi 1.92

Calculated values
Magnetic moment   0.00 μB per cell
VASP energy   -2.61 eV/atom

---

2.
The following is a DFT calculation (PBE-GGA) of a relaxed HgBi3H crystal.

Lattice parameters (Å, degrees): 4.9910 4.9910 4.9910 90.00 90.00 90.00
Last column: nearest neighbours and their distance in Å.
Fractional positions:
Hg (0.0000, 0.0000, 0.0000)  12 Bi 3.53
Bi (0.0000, 0.5000, 0.5000)  2 H 2.50
Bi (0.5000, 0.0000, 0.5000)  2 H 2.50
Bi (0.5000, 0.5000, 0.0000)  2 H 2.50
H (0.5000, 0.5000, 0.5000)  6 Bi 2.50

Calculated values
Magnetic moment   0.00 μB per cell
VASP energy   -2.72 eV/atom

---

3.
The following is a DFT calculation (PBE-GGA) of a relaxed HgBi4H2 crystal.

Lattice parameters (Å, degrees): 5.1108 4.5264 8.4753 90.00 95.70 90.00
Last column: nearest neighbours and their distance in Å.
Fractional positions:
Hg (0.0000, 0.0000, 0.0000)  2 Bi 2.94
Bi (0.2656, 0.0000, 0.3241)  1 Hg 2.94, 2 Bi 3.08, 2 H 3.26
Bi (0.3853, 0.5000, 0.7845)  1 H 1.86
Bi (0.6147, 0.5000, 0.2155)  1 H 1.86
Bi (0.7344, 0.0000, 0.6759)  1 Hg 2.94, 2 Bi 3.08, 2 H 3.26
H (0.1809, 0.5000, 0.5905)  1 Bi 1.86
H (0.8191, 0.5000, 0.4095)  1 Bi 1.86

Calculated values
Magnetic moment   0.00 μB per cell
VASP energy   -3.02 eV/atom

---

4.
The following is a DFT calculation (PBE-GGA) of a relaxed Hg6BiH3 crystal.

Lattice parameters (Å, degrees): 3.7519 11.6270 12.0313 116.02 90.31 90.00
Last column: nearest neighbours and their distance in Å.
Fractional positions:
Hg (0.2435, 0.1364, 0.0425)  1 H 2.39
Hg (0.2456, 0.8301, 0.3059)  1 H 2.26
Hg (0.2484, 0.3306, 0.4807)  1 Bi 3.05, 2 Hg 3.06-3.07, 4 H 3.17-3.41
Hg (0.2521, 0.6624, 0.0258)  3 Hg 3.07-3.38, 1 Bi 3.14
Hg (0.2544, 0.6911, 0.7293)  3 H 3.05-3.29, 5 Hg 3.06-3.32, 1 Bi 3.22
Hg (0.2542, 0.9434, 0.6685)  2 H 1.70-1.71
Hg (0.7458, 0.0566, 0.3315)  2 H 1.70-1.71
Hg (0.7456, 0.3089, 0.2707)  3 H 3.05-3.29, 5 Hg 3.06-3.32, 1 Bi 3.22
Hg (0.7479, 0.3376, 0.9742)  3 Hg 3.07-3.38, 1 Bi 3.14
Hg (0.7516, 0.6694, 0.5193)  1 Bi 3.05, 2 Hg 3.06-3.07, 4 H 3.17-3.41
Hg (0.7544, 0.1699, 0.6941)  1 H 2.26
Hg (0.7565, 0.8636, 0.9575)  1 H 2.39
Bi (0.2531, 0.4299, 0.7612)  2 H 2.05
Bi (0.7469, 0.5701, 0.2388)  2 H 2.05
H (0.2471, 0.5112, 0.2600)  2 Bi 2.05
H (0.2511, 0.8853, 0.5108)  1 Hg 1.71
H (0.2568, 0.0028, 0.8249)  1 Hg 1.70
H (0.7432, 0.9972, 0.1751)  1 Hg 1.70
H (0.7489, 0.1147, 0.4892)  1 Hg 1.71
H (0.7529, 0.4888, 0.7400)  2 Bi 2.05

Calculated values
Magnetic moment   0.00 μB per cell
VASP energy   -1.35 eV/atom